DFT (PBE) results for a geometry-optimized LuCrB2 structure.

## Properties
Crystal system = trigonal
Symmetry = R-3m, No. 166
Raw total energy = -6.940 eV per atom
Total magnetic moment = 1.290 μB per formula unit
ΔH_f (0 K) = -66 meV/atom
N(E_F) = 2.66 states/eV per cell

Unit cell a=3.510 b=3.510 c=5.078 alpha=69.78 beta=69.78 gamma=60.00
Site moments in Bohr magnetons follow the coordinates.
Atoms (fractional coordinates):
B 0.290 0.290 0.129  0.04
B 0.710 0.710 0.871  0.04
Cr 0.000 0.000 0.000  -1.38
Lu 0.500 0.500 0.500  0.05

=====

DFT (PBE) results for a geometry-optimized CeTm2Cu9 structure.

## Properties
Crystal system = hexagonal
Symmetry = P6_3/mmc, No. 194
Raw total energy = -4.491 eV per atom
Total magnetic moment = 0.786 μB per formula unit
ΔH_f (0 K) = -179 meV/atom
N(E_F) = 23.91 states/eV per cell

Unit cell a=5.210 b=5.210 c=16.329 alpha=90.00 beta=90.00 gamma=120.00
Site moments in Bohr magnetons follow the coordinates.
Atoms (fractional coordinates):
Cu 0.833 0.665 0.875  0.00
Cu 0.335 0.167 0.625  0.00
Ce 0.333 0.667 0.750  0.66
Cu 0.167 0.833 0.125  0.00
Cu 0.833 0.665 0.625  0.00
Cu 0.000 0.000 0.000  0.01
Tm 0.667 0.333 0.465  0.00
Cu 0.000 0.000 0.250  0.00
Cu 0.000 0.000 0.500  0.01
Cu 0.167 0.335 0.125  0.00
Ce 0.667 0.333 0.250  0.66
Cu 0.665 0.833 0.375  0.00
Cu 0.667 0.333 0.750  0.00
Cu 0.335 0.167 0.875  0.00
Cu 0.167 0.833 0.375  0.00
Tm 0.667 0.333 0.035  0.00
Cu 0.167 0.335 0.375  0.00
Cu 0.833 0.167 0.625  0.00
Tm 0.333 0.667 0.535  0.00
Cu 0.333 0.667 0.250  0.00
Tm 0.333 0.667 0.965  0.00
Cu 0.000 0.000 0.750  0.00
Cu 0.833 0.167 0.875  0.00
Cu 0.665 0.833 0.125  0.00

=====

DFT (PBE) results for a geometry-optimized Pu2NbPd9 structure.

## Properties
Crystal system = tetragonal
Symmetry = P4/mmm, No. 123
Raw total energy = -7.618 eV per atom
Total magnetic moment = 9.954 μB per formula unit
ΔH_f (0 K) = -496 meV/atom
N(E_F) = 34.86 states/eV per cell

Unit cell a=4.092 b=4.092 c=12.331 alpha=90.00 beta=90.00 gamma=90.00
Site moments in Bohr magnetons follow the coordinates.
Atoms (fractional coordinates):
Pd 0.500 0.000 0.500  -0.04
Pd 0.500 0.000 0.152  -0.01
Pd 0.500 0.500 0.000  0.00
Pu 0.000 0.000 0.669  4.93
Pd 0.500 0.000 0.848  -0.01
Pd 0.000 0.500 0.848  -0.01
Nb 0.000 0.000 0.000  0.08
Pd 0.500 0.500 0.325  -0.04
Pu 0.000 0.000 0.331  4.93
Pd 0.500 0.500 0.675  -0.04
Pd 0.000 0.500 0.152  -0.01
Pd 0.000 0.500 0.500  -0.04

=====

DFT (PBE) results for a geometry-optimized LiCeCuPb structure.

## Properties
Crystal system = cubic
Symmetry = F-43m, No. 216
Raw total energy = -4.072 eV per atom
Total magnetic moment = 0.607 μB per formula unit
ΔH_f (0 K) = -159 meV/atom
N(E_F) = 5.35 states/eV per cell

Unit cell a=5.062 b=5.062 c=5.062 alpha=60.00 beta=60.00 gamma=60.00
Site moments in Bohr magnetons follow the coordinates.
Atoms (fractional coordinates):
Pb 0.750 0.750 0.750  0.00
Li 0.000 0.000 0.000  0.00
Cu 0.250 0.250 0.250  -0.01
Ce 0.500 0.500 0.500  0.58

=====

DFT (PBE) results for a geometry-optimized KSn4Pb4 structure.

## Properties
Crystal system = tetragonal
Symmetry = P4_2/nmc, No. 137
Raw total energy = -3.509 eV per atom
Total magnetic moment = 0.000 μB per formula unit
ΔH_f (0 K) = 40 meV/atom
N(E_F) = 9.20 states/eV per cell

Unit cell a=7.121 b=7.121 c=12.147 alpha=90.00 beta=90.00 gamma=90.00
Atoms (fractional coordinates):
Pb 0.500 0.772 0.080
Sn 0.500 0.215 0.791
Pb 0.228 0.500 0.920
Sn 0.785 0.500 0.209
Pb 0.500 0.228 0.080
Pb 0.000 0.272 0.420
Sn 0.285 0.000 0.291
Pb 0.772 0.500 0.920
Sn 0.215 0.500 0.209
Sn 0.715 0.000 0.291
K 0.500 0.500 0.500
Pb 0.272 0.000 0.580
Sn 0.500 0.785 0.791
Pb 0.000 0.728 0.420
Pb 0.728 0.000 0.580
Sn 0.000 0.715 0.709
Sn 0.000 0.285 0.709
K 0.000 0.000 0.000

=====

DFT (PBE) results for a geometry-optimized Sr2AlPb structure.

## Properties
Crystal system = tetragonal
Symmetry = P4mm, No. 99
Raw total energy = -2.825 eV per atom
Total magnetic moment = 0.000 μB per formula unit
ΔH_f (0 K) = -121 meV/atom
N(E_F) = 3.15 states/eV per cell

Unit cell a=3.919 b=3.918 c=9.308 alpha=90.00 beta=90.00 gamma=90.00
Atoms (fractional coordinates):
Sr 0.500 0.500 0.314
Pb 0.500 0.500 0.694
Al 0.000 0.000 0.549
Sr 0.000 0.000 0.943